(1)
# Nb4C3, relaxed, DFT PBE
# Electronic total energy in hartree per atom: -0.366
data_Nb4C3
_symmetry_space_group_name_H-M 'P 1'
_symmetry_Int_Tables_number 1
_cell_length_a 6.0536
_cell_length_b 6.0536
_cell_length_c 6.0536
_cell_angle_alpha 109.47
_cell_angle_beta 109.47
_cell_angle_gamma 109.47
loop_
_symmetry_equiv_pos_as_xyz
'x,y,z'
loop_
_atom_site_label
_atom_site_fract_x
_atom_site_fract_y
_atom_site_fract_z
Nb1 0.0000 0.3995 0.5000
Nb2 0.0000 0.8995 0.5000
Nb3 0.1005 0.1005 0.1005
Nb4 0.3995 0.5000 0.0000
Nb5 0.5000 0.0000 0.3995
Nb6 0.5000 0.0000 0.8995
Nb7 0.6005 0.6005 0.6005
Nb8 0.8995 0.5000 0.0000
C1 0.1250 0.7500 0.8750
C2 0.2500 0.6250 0.3750
C3 0.3750 0.2500 0.6250
C4 0.6250 0.3750 0.2500
C5 0.7500 0.8750 0.1250
C6 0.8750 0.1250 0.7500

(2)
# Nb3NiC2, relaxed, DFT PBE
# Electronic total energy in hartree per atom: -0.345
data_Nb3NiC2
_symmetry_space_group_name_H-M 'P 1'
_symmetry_Int_Tables_number 1
_cell_length_a 3.1763
_cell_length_b 3.1763
_cell_length_c 17.8383
_cell_angle_alpha 90.00
_cell_angle_beta 90.00
_cell_angle_gamma 120.00
loop_
_symmetry_equiv_pos_as_xyz
'x,y,z'
loop_
_atom_site_label
_atom_site_fract_x
_atom_site_fract_y
_atom_site_fract_z
Nb1 0.0000 0.0000 0.0000
Nb2 0.0000 0.0000 0.5000
Nb3 0.3333 0.6667 0.1403
Nb4 0.3333 0.6667 0.3597
Nb5 0.6667 0.3333 0.6403
Nb6 0.6667 0.3333 0.8597
Ni1 0.0000 0.0000 0.2500
Ni2 0.0000 0.0000 0.7500
C1 0.3333 0.6667 0.5756
C2 0.3333 0.6667 0.9244
C3 0.6667 0.3333 0.0756
C4 0.6667 0.3333 0.4244

(3)
# Nb2NiC, relaxed, DFT PBE
# Electronic total energy in hartree per atom: -0.331
data_Nb2NiC
_symmetry_space_group_name_H-M 'P 1'
_symmetry_Int_Tables_number 1
_cell_length_a 5.4253
_cell_length_b 5.4253
_cell_length_c 13.3126
_cell_angle_alpha 101.93
_cell_angle_beta 101.93
_cell_angle_gamma 59.45
loop_
_symmetry_equiv_pos_as_xyz
'x,y,z'
loop_
_atom_site_label
_atom_site_fract_x
_atom_site_fract_y
_atom_site_fract_z
Nb1 0.0349 0.8711 0.6052
Nb2 0.1289 0.9651 0.8948
Nb3 0.1969 0.3626 0.0929
Nb4 0.2993 0.4717 0.4074
Nb5 0.3626 0.1969 0.5929
Nb6 0.4717 0.2993 0.9074
Nb7 0.5283 0.7007 0.0926
Nb8 0.6374 0.8031 0.4071
Nb9 0.7007 0.5283 0.5926
Nb10 0.8031 0.6374 0.9071
Nb11 0.8711 0.0349 0.1052
Nb12 0.9651 0.1289 0.3948
Ni1 0.0879 0.3045 0.7498
Ni2 0.3045 0.0879 0.2498
Ni3 0.4963 0.5037 0.2500
Ni4 0.5037 0.4963 0.7500
Ni5 0.6955 0.9121 0.7502
Ni6 0.9121 0.6955 0.2502
C1 0.0000 0.5000 0.5000
C2 0.1628 0.6738 0.9998
C3 0.3262 0.8372 0.5002
C4 0.5000 0.0000 0.0000
C5 0.6738 0.1628 0.4998
C6 0.8372 0.3262 0.0002

(4)
# Nb2NiC, relaxed, DFT PBE
# Electronic total energy in hartree per atom: -0.331
data_Nb2NiC
_symmetry_space_group_name_H-M 'P 1'
_symmetry_Int_Tables_number 1
_cell_length_a 3.1250
_cell_length_b 3.1250
_cell_length_c 12.9126
_cell_angle_alpha 90.00
_cell_angle_beta 90.00
_cell_angle_gamma 120.00
loop_
_symmetry_equiv_pos_as_xyz
'x,y,z'
loop_
_atom_site_label
_atom_site_fract_x
_atom_site_fract_y
_atom_site_fract_z
Nb1 0.3333 0.6667 0.0968
Nb2 0.3333 0.6667 0.4032
Nb3 0.6667 0.3333 0.5968
Nb4 0.6667 0.3333 0.9032
Ni1 0.3333 0.6667 0.7500
Ni2 0.6667 0.3333 0.2500
C1 0.0000 0.0000 0.0000
C2 0.0000 0.0000 0.5000

(5)
# Nb3Ni3C, relaxed, DFT PBE
# Electronic total energy in hartree per atom: -0.306
data_Nb3Ni3C
_symmetry_space_group_name_H-M 'P 1'
_symmetry_Int_Tables_number 1
_cell_length_a 8.0496
_cell_length_b 8.0496
_cell_length_c 8.0496
_cell_angle_alpha 60.00
_cell_angle_beta 60.00
_cell_angle_gamma 60.00
loop_
_symmetry_equiv_pos_as_xyz
'x,y,z'
loop_
_atom_site_label
_atom_site_fract_x
_atom_site_fract_y
_atom_site_fract_z
Nb1 0.0693 0.0693 0.6807
Nb2 0.0693 0.6807 0.0693
Nb3 0.0693 0.6807 0.6807
Nb4 0.3193 0.3193 0.9307
Nb5 0.3193 0.9307 0.3193
Nb6 0.3193 0.9307 0.9307
Nb7 0.6807 0.0693 0.0693
Nb8 0.6807 0.0693 0.6807
Nb9 0.6807 0.6807 0.0693
Nb10 0.9307 0.3193 0.3193
Nb11 0.9307 0.3193 0.9307
Nb12 0.9307 0.9307 0.3193
Ni1 0.0000 0.5000 0.5000
Ni2 0.2942 0.2942 0.2942
Ni3 0.2942 0.2942 0.6175
Ni4 0.2942 0.6175 0.2942
Ni5 0.3825 0.7058 0.7058
Ni6 0.5000 0.0000 0.5000
Ni7 0.5000 0.5000 0.0000
Ni8 0.5000 0.5000 0.5000
Ni9 0.6175 0.2942 0.2942
Ni10 0.7058 0.3825 0.7058
Ni11 0.7058 0.7058 0.3825
Ni12 0.7058 0.7058 0.7058
C1 0.0000 0.0000 0.0000
C2 0.0000 0.0000 0.5000
C3 0.0000 0.5000 0.0000
C4 0.5000 0.0000 0.0000

(6)
# Nb4NiC2S, relaxed, DFT PBE
# Electronic total energy in hartree per atom: -0.334
data_Nb4NiC2S
_symmetry_space_group_name_H-M 'P 1'
_symmetry_Int_Tables_number 1
_cell_length_a 3.2139
_cell_length_b 3.2139
_cell_length_c 12.2643
_cell_angle_alpha 90.00
_cell_angle_beta 90.00
_cell_angle_gamma 120.00
loop_
_symmetry_equiv_pos_as_xyz
'x,y,z'
loop_
_atom_site_label
_atom_site_fract_x
_atom_site_fract_y
_atom_site_fract_z
Nb1 0.0000 0.0000 0.1468
Nb2 0.0000 0.0000 0.8532
Nb3 0.3333 0.6667 0.3421
Nb4 0.3333 0.6667 0.6579
Ni1 0.0000 0.0000 0.5000
C1 0.6667 0.3333 0.2480
C2 0.6667 0.3333 0.7520
S1 0.3333 0.6667 0.0000

(7)
# Sc4Nb2Ni3C3, relaxed, DFT PBE
# Electronic total energy in hartree per atom: -0.286
data_Sc4Nb2Ni3C3
_symmetry_space_group_name_H-M 'P 1'
_symmetry_Int_Tables_number 1
_cell_length_a 5.5082
_cell_length_b 5.5082
_cell_length_c 13.6720
_cell_angle_alpha 101.46
_cell_angle_beta 101.46
_cell_angle_gamma 60.15
loop_
_symmetry_equiv_pos_as_xyz
'x,y,z'
loop_
_atom_site_label
_atom_site_fract_x
_atom_site_fract_y
_atom_site_fract_z
Sc1 0.0418 0.1891 0.0952
Sc2 0.1251 0.3013 0.4046
Sc3 0.1891 0.0418 0.5952
Sc4 0.3013 0.1251 0.9046
Sc5 0.6987 0.8749 0.0954
Sc6 0.8109 0.9582 0.4048
Sc7 0.8749 0.6987 0.5954
Sc8 0.9582 0.8109 0.9048
Nb1 0.3555 0.5309 0.0925
Nb2 0.4691 0.6445 0.4075
Nb3 0.5309 0.3555 0.5925
Nb4 0.6445 0.4691 0.9075
Ni1 0.0753 0.9247 0.7500
Ni2 0.0978 0.4175 0.7511
Ni3 0.4175 0.0978 0.2511
Ni4 0.5825 0.9022 0.7489
Ni5 0.9022 0.5825 0.2489
Ni6 0.9247 0.0753 0.2500
C1 0.0000 0.5000 0.0000
C2 0.1964 0.6517 0.4996
C3 0.3483 0.8036 0.0004
C4 0.5000 0.0000 0.5000
C5 0.6517 0.1964 0.9996
C6 0.8036 0.3483 0.5004

(8)
# Sc2Nb4Ni3C3, relaxed, DFT PBE
# Electronic total energy in hartree per atom: -0.313
data_Sc2Nb4Ni3C3
_symmetry_space_group_name_H-M 'P 1'
_symmetry_Int_Tables_number 1
_cell_length_a 5.4318
_cell_length_b 5.4318
_cell_length_c 13.5782
_cell_angle_alpha 102.01
_cell_angle_beta 102.01
_cell_angle_gamma 60.01
loop_
_symmetry_equiv_pos_as_xyz
'x,y,z'
loop_
_atom_site_label
_atom_site_fract_x
_atom_site_fract_y
_atom_site_fract_z
Sc1 0.0405 0.8785 0.6169
Sc2 0.1215 0.9595 0.8831
Sc3 0.8785 0.0405 0.1169
Sc4 0.9595 0.1215 0.3831
Nb1 0.1959 0.3573 0.0890
Nb2 0.2960 0.4773 0.4108
Nb3 0.3573 0.1959 0.5890
Nb4 0.4773 0.2960 0.9108
Nb5 0.5227 0.7040 0.0892
Nb6 0.6427 0.8041 0.4110
Nb7 0.7040 0.5227 0.5892
Nb8 0.8041 0.6427 0.9110
Ni1 0.0869 0.4014 0.7501
Ni2 0.4014 0.0869 0.2501
Ni3 0.4204 0.5796 0.2500
Ni4 0.5796 0.4204 0.7500
Ni5 0.5986 0.9131 0.7499
Ni6 0.9131 0.5986 0.2499
C1 0.0000 0.5000 0.5000
C2 0.1673 0.6654 0.0001
C3 0.3346 0.8327 0.4999
C4 0.5000 0.0000 0.0000
C5 0.6654 0.1673 0.5001
C6 0.8327 0.3346 0.9999

(9)
# Y2Nb4Ni3C3, relaxed, DFT PBE
# Electronic total energy in hartree per atom: -0.314
data_Y2Nb4Ni3C3
_symmetry_space_group_name_H-M 'P 1'
_symmetry_Int_Tables_number 1
_cell_length_a 5.5319
_cell_length_b 5.5319
_cell_length_c 13.7424
_cell_angle_alpha 102.03
_cell_angle_beta 102.03
_cell_angle_gamma 60.05
loop_
_symmetry_equiv_pos_as_xyz
'x,y,z'
loop_
_atom_site_label
_atom_site_fract_x
_atom_site_fract_y
_atom_site_fract_z
Y1 0.0434 0.8795 0.6242
Y2 0.1205 0.9566 0.8758
Y3 0.8795 0.0434 0.1242
Y4 0.9566 0.1205 0.3758
Nb1 0.1957 0.3550 0.0874
Nb2 0.2950 0.4795 0.4125
Nb3 0.3550 0.1957 0.5874
Nb4 0.4795 0.2950 0.9125
Nb5 0.5205 0.7050 0.0875
Nb6 0.6450 0.8043 0.4126
Nb7 0.7050 0.5205 0.5875
Nb8 0.8043 0.6450 0.9126
Ni1 0.0866 0.4103 0.7500
Ni2 0.4103 0.0866 0.2500
Ni3 0.4159 0.5841 0.2500
Ni4 0.5841 0.4159 0.7500
Ni5 0.5897 0.9134 0.7500
Ni6 0.9134 0.5897 0.2500
C1 0.0000 0.5000 0.5000
C2 0.1727 0.6544 0.0000
C3 0.3456 0.8273 0.5000
C4 0.5000 0.0000 0.0000
C5 0.6544 0.1727 0.5000
C6 0.8273 0.3456 0.0000

(10)
# Nb4ZnNiC2, relaxed, DFT PBE
# Electronic total energy in hartree per atom: -0.313
data_Nb4ZnNiC2
_symmetry_space_group_name_H-M 'P 1'
_symmetry_Int_Tables_number 1
_cell_length_a 3.1321
_cell_length_b 3.1321
_cell_length_c 13.4005
_cell_angle_alpha 90.00
_cell_angle_beta 90.00
_cell_angle_gamma 120.00
loop_
_symmetry_equiv_pos_as_xyz
'x,y,z'
loop_
_atom_site_label
_atom_site_fract_x
_atom_site_fract_y
_atom_site_fract_z
Nb1 0.0000 0.0000 0.1495
Nb2 0.0000 0.0000 0.8505
Nb3 0.3333 0.6667 0.3334
Nb4 0.3333 0.6667 0.6666
Zn1 0.0000 0.0000 0.5000
Ni1 0.3333 0.6667 0.0000
C1 0.6667 0.3333 0.2428
C2 0.6667 0.3333 0.7572